Record 1
BaAlTe2 | PBEsol | relaxed

Values from the calculation:
Volume = 142.32 Å³/cell
Symmetry = P4mm (99)
DFT total energy = -4.0694 eV per atom

Lattice parameters (Å, degrees): 4.3408 4.3408 7.5530 90.00 90.00 90.00
Fractional positions:
1 Te 0.5000 0.5000 0.3680
2 Te 0.0000 0.0000 0.9795
3 Ba 0.5000 0.5000 0.8171
4 Al 0.0000 0.0000 0.3354

=====

Record 2
BaTiAl3 | PBEsol | relaxed

Values from the calculation:
Volume = 165.61 Å³/cell
Formation enthalpy at 0 K = 1.873 eV/atom
Symmetry = Pm-3m (221)

Lattice parameters (Å, degrees): 5.4916 5.4916 5.4916 90.00 90.00 90.00
Last column: magnetic moment on the atom in μB.
Fractional positions:
1 Ti 0.5000 0.5000 0.5000  1.81
2 Al 0.0000 0.0000 0.5000  0.01
3 Ba 0.0000 0.0000 0.0000  0.06
4 Al 0.0000 0.5000 0.0000  0.01
5 Al 0.5000 0.0000 0.0000  0.01

=====

Record 3
BaTiAl2 | PBEsol | relaxed

Values from the calculation:
Volume = 249.68 Å³/cell
Formation enthalpy at 0 K = 0.454 eV/atom
Symmetry = I4_1/amd (141)

Lattice parameters (Å, degrees): 5.1612 5.1612 10.0587 104.87 104.87 90.00
Last column: magnetic moment on the atom in μB.
Fractional positions:
1 Al 0.6250 0.8750 0.2500  0.02
2 Al 0.6250 0.3750 0.7500  0.02
3 Ba 0.0000 0.0000 0.0000  0.12
4 Ti 0.5000 0.5000 0.0000  1.48
5 Al 0.6250 0.3750 0.2500  0.02
6 Ti 0.7500 0.2500 0.5000  1.48
7 Ba 0.2500 0.7500 0.5000  0.12
8 Al 0.1250 0.3750 0.7500  0.02

=====

Record 4
Ba2TiAl | PBEsol | relaxed

Values from the calculation:
Volume = 257.05 Å³/cell
Formation enthalpy at 0 K = 0.711 eV/atom
Symmetry = I-42d (122)

Lattice parameters (Å, degrees): 6.3167 7.1183 7.1183 78.65 63.66 63.66
Last column: magnetic moment on the atom in μB.
Fractional positions:
1 Ba 0.8750 0.0093 0.4907  0.06
2 Al 0.2500 0.5000 0.5000  -0.02
3 Ba 0.3750 0.9907 0.5093  0.06
4 Ba 0.1157 0.5093 0.0093  0.06
5 Ti 0.7500 0.5000 0.5000  1.65
6 Ba 0.6343 0.4907 0.9907  0.06
7 Al 0.5000 0.0000 0.0000  -0.02
8 Ti 0.0000 0.0000 0.0000  1.65

=====

Record 5
BaAlTl2 | PBEsol | relaxed

Values from the calculation:
Volume = 117.18 Å³/cell
Formation enthalpy at 0 K = -0.127 eV/atom
Symmetry = P2/m (10)

Lattice parameters (Å, degrees): 3.6217 4.6894 7.0415 90.00 101.53 90.00
Fractional positions:
1 Al 0.5000 0.5000 0.0000
2 Tl 0.3352 0.0000 0.2034
3 Tl 0.6648 0.0000 0.7966
4 Ba 0.0000 0.5000 0.5000

=====

Record 6
BaAl2Tl | PBEsol | relaxed

Values from the calculation:
Volume = 258.25 Å³/cell
Formation enthalpy at 0 K = 0.016 eV/atom
Symmetry = I4_1/amd (141)

Lattice parameters (Å, degrees): 5.1792 5.1792 10.3006 104.56 104.56 90.00
Fractional positions:
1 Al 0.1250 0.3750 0.2500
2 Al 0.1250 0.8750 0.7500
3 Ba 0.7500 0.2500 0.5000
4 Ba 0.5000 0.5000 0.0000
5 Al 0.6250 0.8750 0.7500
6 Tl 0.2500 0.7500 0.5000
7 Tl 0.0000 0.0000 0.0000
8 Al 0.1250 0.8750 0.2500

=====

Record 7
BaAlTl4 | PBEsol | relaxed

Values from the calculation:
Volume = 180.11 Å³/cell
Formation enthalpy at 0 K = 0.010 eV/atom
Symmetry = F-43m (216)

Lattice parameters (Å, degrees): 6.3390 6.3390 6.3390 60.00 60.00 60.00
Fractional positions:
1 Tl 0.3759 0.3759 0.3759
2 Tl 0.8723 0.3759 0.3759
3 Ba 0.0000 0.0000 0.0000
4 Al 0.7500 0.7500 0.7500
5 Tl 0.3759 0.3759 0.8723
6 Tl 0.3759 0.8723 0.3759

=====

Record 8
BaAlTl | PBEsol | relaxed

Values from the calculation:
Volume = 97.56 Å³/cell
Formation enthalpy at 0 K = -0.258 eV/atom
Symmetry = P-6m2 (187)

Lattice parameters (Å, degrees): 4.6797 4.6797 5.1442 90.00 90.00 120.00
Fractional positions:
1 Ba 0.3333 0.6667 0.6666
2 Tl 0.6667 0.3333 0.1668
3 Al 0.0000 0.0000 0.1666